Entry from Alexandria: a relaxed Ba2MgAl3Ag12 crystal (GGA-PBE).

Computed properties:
**ΔE_f**: 17.6 kJ/mol of atoms
**Symmetry**: R-3m

```
data_Ba2MgAl3Ag12
_space_group_name_H-M_alt 'P 1'
_space_group_IT_number 1
_cell_length_a 8.5363
_cell_length_b 8.5363
_cell_length_c 8.5363
_cell_angle_alpha 62.55
_cell_angle_beta 62.55
_cell_angle_gamma 62.55
loop_
_space_group_symop_operation_xyz
'x,y,z'
loop_
_atom_site_label
_atom_site_fract_x
_atom_site_fract_y
_atom_site_fract_z
Ba1 0.6132 0.6132 0.6132
Ba2 0.3868 0.3868 0.3868
Mg1 0.0000 0.0000 0.0000
Al1 0.5000 0.0000 0.0000
Al2 0.0000 0.5000 0.0000
Al3 0.0000 0.0000 0.5000
Ag1 0.3492 0.3492 0.8938
Ag2 0.8776 0.8776 0.3709
Ag3 0.3709 0.8776 0.8776
Ag4 0.8938 0.3492 0.3492
Ag5 0.8776 0.3709 0.8776
Ag6 0.3492 0.8938 0.3492
Ag7 0.6508 0.6508 0.1062
Ag8 0.1224 0.1224 0.6291
Ag9 0.6291 0.1224 0.1224
Ag10 0.1062 0.6508 0.6508
Ag11 0.1224 0.6291 0.1224
Ag12 0.6508 0.1062 0.6508
```

Entry from Alexandria: a relaxed BaMg2AlAg crystal (GGA-PBE).

Computed properties:
**ΔE_f**: -4.2 kJ/mol of atoms
**Symmetry**: P4/mmm

```
data_BaMg2AlAg
_space_group_name_H-M_alt 'P 1'
_space_group_IT_number 1
_cell_length_a 5.2481
_cell_length_b 5.2481
_cell_length_c 5.0598
_cell_angle_alpha 90.00
_cell_angle_beta 90.00
_cell_angle_gamma 90.00
loop_
_space_group_symop_operation_xyz
'x,y,z'
loop_
_atom_site_label
_atom_site_fract_x
_atom_site_fract_y
_atom_site_fract_z
Mg1 0.0000 0.5000 0.0000
Mg2 0.5000 0.0000 0.0000
Ba1 0.5000 0.5000 0.5000
Ag1 0.0000 0.0000 0.0000
Al1 0.0000 0.0000 0.5000
```

Entry from Alexandria: a relaxed BaMg4Al2Ag crystal (GGA-PBE).

Computed properties:
**ΔE_f**: -6.2 kJ/mol of atoms
**Symmetry**: R-3m

```
data_BaMg4Al2Ag
_space_group_name_H-M_alt 'P 1'
_space_group_IT_number 1
_cell_length_a 4.8120
_cell_length_b 4.8120
_cell_length_c 10.2987
_cell_angle_alpha 76.49
_cell_angle_beta 76.49
_cell_angle_gamma 60.00
loop_
_space_group_symop_operation_xyz
'x,y,z'
loop_
_atom_site_label
_atom_site_fract_x
_atom_site_fract_y
_atom_site_fract_z
Ba1 0.0000 0.0000 0.0000
Mg1 0.4090 0.4090 0.7731
Mg2 0.8650 0.8650 0.4050
Mg3 0.1350 0.1350 0.5950
Mg4 0.5910 0.5910 0.2269
Al1 0.7564 0.7564 0.7309
Al2 0.2436 0.2436 0.2691
Ag1 0.5000 0.5000 0.5000
```

Entry from Alexandria: a relaxed BaMgAlAg2 crystal (GGA-PBE).

Computed properties:
**ΔE_f**: -20.7 kJ/mol of atoms
**Symmetry**: I-4m2

```
data_BaMgAlAg2
_space_group_name_H-M_alt 'P 1'
_space_group_IT_number 1
_cell_length_a 4.5584
_cell_length_b 4.5584
_cell_length_c 6.9452
_cell_angle_alpha 109.16
_cell_angle_beta 109.16
_cell_angle_gamma 90.00
loop_
_space_group_symop_operation_xyz
'x,y,z'
loop_
_atom_site_label
_atom_site_fract_x
_atom_site_fract_y
_atom_site_fract_z
Ba1 0.0000 0.0000 0.0000
Mg1 0.2500 0.7500 0.5000
Al1 0.7500 0.2500 0.5000
Ag1 0.6224 0.6224 0.2449
Ag2 0.3776 0.3776 0.7551
```

Entry from Alexandria: a relaxed Ba2Mg12AlAg3 crystal (GGA-PBE).

Computed properties:
**ΔE_f**: 9.4 kJ/mol of atoms
**Symmetry**: R-3m

```
data_Ba2Mg12AlAg3
_space_group_name_H-M_alt 'P 1'
_space_group_IT_number 1
_cell_length_a 11.1650
_cell_length_b 11.1650
_cell_length_c 11.1650
_cell_angle_alpha 39.62
_cell_angle_beta 39.62
_cell_angle_gamma 39.62
loop_
_space_group_symop_operation_xyz
'x,y,z'
loop_
_atom_site_label
_atom_site_fract_x
_atom_site_fract_y
_atom_site_fract_z
Ba1 0.6495 0.6495 0.6495
Ba2 0.3505 0.3505 0.3505
Mg1 0.4087 0.4087 0.8141
Mg2 0.9323 0.9323 0.3530
Mg3 0.3530 0.9323 0.9323
Mg4 0.8141 0.4087 0.4087
Mg5 0.9323 0.3530 0.9323
Mg6 0.4087 0.8141 0.4087
Mg7 0.5913 0.5913 0.1859
Mg8 0.0677 0.0677 0.6470
Mg9 0.6470 0.0677 0.0677
Mg10 0.1859 0.5913 0.5913
Mg11 0.0677 0.6470 0.0677
Mg12 0.5913 0.1859 0.5913
Al1 0.0000 0.0000 0.0000
Ag1 0.5000 0.0000 0.0000
Ag2 0.0000 0.5000 0.0000
Ag3 0.0000 0.0000 0.5000
```

Entry from Alexandria: a relaxed BaMg2AlAg4 crystal (GGA-PBE).

Computed properties:
**ΔE_f**: -16.1 kJ/mol of atoms
**Symmetry**: R-3m

```
data_BaMg2AlAg4
_space_group_name_H-M_alt 'P 1'
_space_group_IT_number 1
_cell_length_a 4.6474
_cell_length_b 4.6474
_cell_length_c 10.3347
_cell_angle_alpha 77.01
_cell_angle_beta 77.01
_cell_angle_gamma 60.00
loop_
_space_group_symop_operation_xyz
'x,y,z'
loop_
_atom_site_label
_atom_site_fract_x
_atom_site_fract_y
_atom_site_fract_z
Ba1 0.0000 0.0000 0.0000
Mg1 0.7678 0.7678 0.6966
Mg2 0.2322 0.2322 0.3034
Al1 0.5000 0.5000 0.5000
Ag1 0.4107 0.4107 0.7678
Ag2 0.8634 0.8634 0.4099
Ag3 0.1366 0.1366 0.5901
Ag4 0.5893 0.5893 0.2322
```

Entry from Alexandria: a relaxed Ba2MgAl4Ag3 crystal (GGA-PBE).

Computed properties:
**ΔE_f**: -17.1 kJ/mol of atoms
**Symmetry**: P-4m2

```
data_Ba2MgAl4Ag3
_space_group_name_H-M_alt 'P 1'
_space_group_IT_number 1
_cell_length_a 4.6515
_cell_length_b 4.6515
_cell_length_c 11.4394
_cell_angle_alpha 90.00
_cell_angle_beta 90.00
_cell_angle_gamma 90.00
loop_
_space_group_symop_operation_xyz
'x,y,z'
loop_
_atom_site_label
_atom_site_fract_x
_atom_site_fract_y
_atom_site_fract_z
Ba1 0.5000 0.0000 0.2444
Ba2 0.0000 0.5000 0.7556
Mg1 0.5000 0.5000 0.5000
Al1 0.5000 0.5000 0.0000
Al2 0.0000 0.0000 0.0000
Al3 0.5000 0.0000 0.6388
Al4 0.0000 0.5000 0.3612
Ag1 0.0000 0.0000 0.5000
Ag2 0.5000 0.0000 0.8780
Ag3 0.0000 0.5000 0.1220
```

Entry from Alexandria: a relaxed BaMg4AlAg2 crystal (GGA-PBE).

Computed properties:
**ΔE_f**: -7.9 kJ/mol of atoms
**Symmetry**: R-3m

```
data_BaMg4AlAg2
_space_group_name_H-M_alt 'P 1'
_space_group_IT_number 1
_cell_length_a 4.6971
_cell_length_b 4.6971
_cell_length_c 10.9309
_cell_angle_alpha 77.59
_cell_angle_beta 77.59
_cell_angle_gamma 60.00
loop_
_space_group_symop_operation_xyz
'x,y,z'
loop_
_atom_site_label
_atom_site_fract_x
_atom_site_fract_y
_atom_site_fract_z
Ba1 0.0000 0.0000 0.0000
Mg1 0.4104 0.4104 0.7688
Mg2 0.8671 0.8671 0.3988
Mg3 0.1329 0.1329 0.6012
Mg4 0.5896 0.5896 0.2312
Al1 0.5000 0.5000 0.5000
Ag1 0.7681 0.7681 0.6957
Ag2 0.2319 0.2319 0.3043
```

Entry from Alexandria: a relaxed BaAlAgMo2 crystal (GGA-PBE).

Computed properties:
**Excess energy over the best structure of this formula in the dataset**: 0.00 eV/f.u.
**ΔE_f**: 139.6 kJ/mol of atoms
**Symmetry**: P4/mmm

```
data_BaAlAgMo2
_space_group_name_H-M_alt 'P 1'
_space_group_IT_number 1
_cell_length_a 4.8280
_cell_length_b 5.9457
_cell_length_c 4.8280
_cell_angle_alpha 90.00
_cell_angle_beta 90.00
_cell_angle_gamma 90.00
loop_
_space_group_symop_operation_xyz
'x,y,z'
loop_
_atom_site_label
_atom_site_fract_x
_atom_site_fract_y
_atom_site_fract_z
Mo1 0.0000 0.0000 0.5000
Mo2 0.5000 0.0000 0.0000
Ba1 0.0000 0.5000 0.0000
Ag1 0.5000 0.5000 0.5000
Al1 0.0000 0.0000 0.0000
```

Entry from Alexandria: a relaxed BaAlAgMo2 crystal (GGA-PBE).

Computed properties:
**Excess energy over the best structure of this formula in the dataset**: 1.84 eV/f.u.
**ΔE_f**: 175.0 kJ/mol of atoms
**Symmetry**: P4/mmm

```
data_BaAlAgMo2
_space_group_name_H-M_alt 'P 1'
_space_group_IT_number 1
_cell_length_a 5.2415
_cell_length_b 5.8024
_cell_length_c 5.2415
_cell_angle_alpha 90.00
_cell_angle_beta 90.00
_cell_angle_gamma 90.00
loop_
_space_group_symop_operation_xyz
'x,y,z'
loop_
_atom_site_label
_atom_site_fract_x
_atom_site_fract_y
_atom_site_fract_z
Mo1 0.0000 0.0000 0.5000
Mo2 0.5000 0.0000 0.0000
Ba1 0.0000 0.5000 0.0000
Ag1 0.0000 0.0000 0.0000
Al1 0.5000 0.5000 0.5000
```

Entry from Alexandria: a relaxed BaAlAgMo2 crystal (GGA-PBE).

Computed properties:
**Excess energy over the best structure of this formula in the dataset**: 6.07 eV/f.u.
**ΔE_f**: 256.7 kJ/mol of atoms
**Symmetry**: P4/mmm

```
data_BaAlAgMo2
_space_group_name_H-M_alt 'P 1'
_space_group_IT_number 1
_cell_length_a 5.1355
_cell_length_b 5.5218
_cell_length_c 5.1355
_cell_angle_alpha 90.00
_cell_angle_beta 90.00
_cell_angle_gamma 90.00
loop_
_space_group_symop_operation_xyz
'x,y,z'
loop_
_atom_site_label
_atom_site_fract_x
_atom_site_fract_y
_atom_site_fract_z
Mo1 0.0000 0.0000 0.5000
Mo2 0.5000 0.0000 0.0000
Ba1 0.0000 0.0000 0.0000
Ag1 0.5000 0.5000 0.5000
Al1 0.0000 0.5000 0.0000
```

Entry from Alexandria: a relaxed BaAlAgN2 crystal (GGA-PBE).

Computed properties:
**Formation energy from raw total energies**: 0.96 eV/atom
**Symmetry**: P4/mmm

```
data_BaAlAgN2
_space_group_name_H-M_alt 'P 1'
_space_group_IT_number 1
_cell_length_a 4.0209
_cell_length_b 6.3092
_cell_length_c 4.0209
_cell_angle_alpha 90.00
_cell_angle_beta 90.00
_cell_angle_gamma 90.00
loop_
_space_group_symop_operation_xyz
'x,y,z'
loop_
_atom_site_label
_atom_site_fract_x
_atom_site_fract_y
_atom_site_fract_z
N1 0.0000 0.0000 0.5000
N2 0.5000 0.0000 0.0000
Ba1 0.0000 0.5000 0.0000
Ag1 0.5000 0.5000 0.5000
Al1 0.0000 0.0000 0.0000
```